Record 1
Density functional theory data (PBE) for crystalline CsSb4Pb4 at its relaxed geometry.

Output
ΔE_f (raw), eV/atom: -0.03
DOS(E_F), states/eV/cell: 12.02
Calculated volume, Å³ per atom: 40.4

Lattice parameters (Å, degrees): 6.088 10.925 10.925 90.00 90.00 90.00
Fractional positions:
Cs1 0.000 0.000 0.000
Cs2 0.500 0.500 0.500
Sb1 0.500 0.844 0.327
Sb2 0.500 0.156 0.673
Sb3 0.000 0.827 0.656
Sb4 0.000 0.344 0.827
Sb5 0.000 0.656 0.173
Sb6 0.500 0.327 0.156
Sb7 0.500 0.673 0.844
Sb8 0.000 0.173 0.344
Pb1 0.500 0.376 0.877
Pb2 0.000 0.623 0.876
Pb3 0.500 0.624 0.123
Pb4 0.000 0.124 0.623
Pb5 0.500 0.877 0.624
Pb6 0.000 0.876 0.377
Pb7 0.000 0.377 0.124
Pb8 0.500 0.123 0.376

=====

Record 2
Density functional theory data (PBE) for crystalline Cs3Sb3Pb2 at its relaxed geometry.

Output
ΔE_f (raw), eV/atom: -0.31
DOS(E_F), states/eV/cell: 1.61
Calculated volume, Å³ per atom: 42.9

Lattice parameters (Å, degrees): 7.256 7.256 17.439 90.00 90.00 131.66
Fractional positions:
Cs1 0.080 0.920 0.378
Cs2 0.920 0.080 0.878
Cs3 0.080 0.920 0.122
Cs4 0.920 0.080 0.622
Cs5 0.389 0.611 0.250
Cs6 0.611 0.389 0.750
Sb1 0.396 0.604 0.469
Sb2 0.604 0.396 0.969
Sb3 0.396 0.604 0.031
Sb4 0.604 0.396 0.531
Sb5 0.699 0.301 0.250
Sb6 0.301 0.699 0.750
Pb1 0.212 0.788 0.915
Pb2 0.788 0.212 0.415
Pb3 0.212 0.788 0.585
Pb4 0.788 0.212 0.085

=====

Record 3
Density functional theory data (PBE) for crystalline Cs2Sb7Pb12 at its relaxed geometry.

Output
ΔE_f (raw), eV/atom: -0.05
DOS(E_F), states/eV/cell: 8.43
Calculated volume, Å³ per atom: 35.7

Lattice parameters (Å, degrees): 4.597 13.725 13.725 120.00 90.00 90.00
Fractional positions:
Cs1 0.232 0.333 0.667
Cs2 0.768 0.667 0.333
Sb1 0.500 0.000 0.000
Sb2 0.271 0.871 0.280
Sb3 0.271 0.408 0.129
Sb4 0.271 0.720 0.592
Sb5 0.729 0.129 0.720
Sb6 0.729 0.592 0.871
Sb7 0.729 0.280 0.408
Pb1 0.249 0.611 0.044
Pb2 0.249 0.433 0.389
Pb3 0.249 0.956 0.567
Pb4 0.751 0.389 0.956
Pb5 0.751 0.567 0.611
Pb6 0.751 0.044 0.433
Pb7 0.241 0.094 0.254
Pb8 0.241 0.160 0.906
Pb9 0.241 0.746 0.840
Pb10 0.759 0.906 0.746
Pb11 0.759 0.840 0.094
Pb12 0.759 0.254 0.160

=====

Record 4
Density functional theory data (PBE) for crystalline Cs3Sb4Pb4 at its relaxed geometry.

Output
ΔE_f (raw), eV/atom: -0.22
DOS(E_F), states/eV/cell: 4.60
Calculated volume, Å³ per atom: 43.7
ΔE to the lowest computed polymorph, eV per formula unit: 0.000

Lattice parameters (Å, degrees): 5.069 5.813 16.777 99.98 98.69 90.00
Fractional positions:
Cs1 0.354 0.854 0.708
Cs2 0.646 0.146 0.292
Cs3 0.000 0.000 0.000
Sb1 0.803 0.303 0.606
Sb2 0.454 0.454 0.907
Sb3 0.546 0.546 0.093
Sb4 0.197 0.697 0.394
Pb1 0.246 0.246 0.491
Pb2 0.097 0.597 0.194
Pb3 0.903 0.403 0.806
Pb4 0.754 0.754 0.509

=====

Question: What is the DOS(E_F) in the second record?
Answer: 1.61 states/eV/cell